AcYErSe3 (PBE, optimized geometry); final energy = -5.919 eV per atom; crystal system = monoclinic; total magnetic moment = 0.75 μB/cell; space group = P2_1/m, No. 11
1.0
8.1585 0.0000 0.0000
0.0000 4.1553 0.0000
-2.6811 0.0000 10.1157
Ac Y Er Se
2 2 2 6
Cartesian
0.9623 1.0388 2.1514
4.5151 3.1165 7.9643
-0.2992 1.0388 6.3315
5.7766 3.1165 3.7842
0.3094 3.1165 9.1660
5.1679 1.0388 0.9497
-1.5724 1.0388 9.0273
0.4644 3.1165 4.5136
3.4348 3.1165 1.9035
2.0426 1.0388 8.2122
5.0129 1.0388 5.6021
7.0498 3.1165 1.0884


TiV4Fe2 (PBE, optimized geometry); crystal system = tetragonal; total magnetic moment = 0.72 μB/cell; formation enthalpy at 0 K = 1.035 eV/atom; space group = I4/mmm, No. 139
1.0
-2.1536 2.1536 5.9068
2.1536 -2.1536 5.9068
2.1536 2.1536 -5.9068
Ti V Fe
1 4 2
Cartesian
0.0000 0.0000 0.0000
2.1536 0.0000 0.0000
0.0000 0.0000 2.4189
0.0000 2.1536 0.0000
0.0000 0.0000 9.3948
0.0000 0.0000 4.5135
0.0000 0.0000 7.3001


HoCuPt6 (PBE, optimized geometry); crystal system = tetragonal; total magnetic moment = 0.00 μB/cell; formation enthalpy at 0 K = -0.554 eV/atom; space group = P4/mmm, No. 123
1.0
4.0268 0.0000 0.0000
0.0000 4.0268 0.0000
0.0000 0.0000 7.9791
Ho Cu Pt
1 1 6
Cartesian
0.0000 0.0000 0.0000
0.0000 0.0000 3.9896
0.0000 2.0134 2.1169
0.0000 2.0134 5.8622
2.0134 0.0000 2.1169
2.0134 0.0000 5.8622
2.0134 2.0134 0.0000
2.0134 2.0134 3.9896


GdTlHgGe (PBE, optimized geometry); crystal system = cubic; total magnetic moment = 7.13 μB/cell; formation enthalpy at 0 K = -0.206 eV/atom; space group = F-43m, No. 216
1.0
0.0000 3.6987 3.6987
3.6987 0.0000 3.6987
3.6987 3.6987 0.0000
Gd Tl Hg Ge
1 1 1 1
Cartesian
0.0000 0.0000 0.0000
3.6987 3.6987 3.6987
5.5480 5.5480 5.5480
1.8493 1.8493 1.8493


AcPm2Tm2 (PBE, optimized geometry); crystal system = orthorhombic; total magnetic moment = 0.00 μB/cell; formation enthalpy at 0 K = 0.039 eV/atom; space group = Immm, No. 71
1.0
-1.8240 2.8623 8.2718
1.8240 -2.8623 8.2718
1.8240 2.8623 -8.2718
Ac Pm Tm
1 2 2
Cartesian
0.0000 0.0000 0.0000
0.0000 0.0000 6.6004
0.0000 0.0000 9.9431
1.8240 0.0000 3.5834
0.0000 2.8623 4.6883


ZnCdRe3 (PBE, optimized geometry); crystal system = cubic; total magnetic moment = 0.96 μB/cell; formation enthalpy at 0 K = 3.215 eV/atom; space group = Pm-3m, No. 221
1.0
4.8079 0.0000 0.0000
0.0000 4.8079 0.0000
0.0000 0.0000 4.8079
Zn Cd Re
1 1 3
Cartesian
0.0000 0.0000 0.0000
2.4040 2.4040 2.4040
0.0000 2.4040 2.4040
2.4040 0.0000 2.4040
2.4040 2.4040 0.0000


BaMgBe2 (PBE, optimized geometry); crystal system = monoclinic; total magnetic moment = 0.00 μB/cell; formation enthalpy at 0 K = 0.321 eV/atom; space group = C2/m, No. 12
1.0
3.7687 -2.1522 0.0000
3.7687 2.1522 0.0000
-0.9782 0.0000 5.9418
Ba Mg Be
1 1 2
Cartesian
0.0000 0.0000 0.0000
3.2796 0.0000 2.9709
0.8478 0.0000 3.1071
5.7113 0.0000 2.8347


Tl3In12Ge5 (PBE, optimized geometry); crystal system = cubic; total magnetic moment = 0.00 μB/cell; formation enthalpy at 0 K = 0.194 eV/atom; space group = Ia-3d, No. 230
1.0
-8.4642 8.4642 8.4642
8.4642 -8.4642 8.4642
8.4642 8.4642 -8.4642
Tl In Ge
12 48 20
Cartesian
4.2321 2.1161 0.0000
8.4642 4.2321 -2.1161
2.1161 0.0000 4.2321
10.5803 0.0000 4.2321
0.0000 4.2321 2.1161
4.2321 -2.1161 8.4642
4.2321 10.5803 0.0000
8.4642 4.2321 6.3482
-2.1161 8.4642 4.2321
6.3482 8.4642 4.2321
0.0000 4.2321 10.5803
4.2321 6.3482 8.4642
2.5029 -0.4376 1.2352
10.1934 5.4673 -4.6698
8.0266 -1.2352 2.5029
13.1340 -1.7292 2.9969
10.9672 0.4376 1.2352
10.1934 -2.9969 4.6698
1.2352 2.5029 -0.4376
11.4612 3.7945 -1.7292
5.4673 4.6698 -1.7292
7.2291 2.5029 0.4376
-0.4376 1.2352 2.5029
4.6698 -1.7292 5.4673
8.0266 7.2291 -2.5029
4.6698 1.7292 2.9969
7.2291 -2.5029 8.0266
5.4673 -4.6698 10.1934
2.9969 4.6698 1.7292
9.6994 5.9613 0.4376
2.5029 8.0266 -1.2352
10.1934 2.9969 3.7945
4.6698 10.1934 -2.9969
8.0266 1.2352 5.9613
1.7292 2.9969 4.6698
2.5029 0.4376 7.2291
5.9613 8.0266 1.2352
6.7350 5.4673 3.7945
0.4376 7.2291 2.5029
3.7945 -1.7292 11.4612
-1.7292 5.4673 4.6698
5.9613 0.4376 9.6994
-1.2352 2.5029 8.0266
5.4673 3.7945 6.7350
2.9969 13.1340 -1.7292
1.2352 10.9672 0.4376
3.7945 6.7350 5.4673
0.4376 1.2352 10.9672
3.7945 10.1934 2.9969
8.9019 7.2291 5.9613
1.2352 5.9613 8.0266
2.9969 3.7945 10.1934
-2.9969 4.6698 10.1934
7.2291 5.9613 8.9019
-1.7292 11.4612 3.7945
-2.5029 8.0266 7.2291
-4.6698 10.1934 5.4673
0.4376 9.6994 5.9613
-1.7292 2.9969 13.1340
5.9613 8.9019 7.2291
0.0000 0.0000 0.0000
4.2321 4.2321 -4.2321
4.2321 -4.2321 4.2321
8.4642 0.0000 0.0000
12.6964 2.1161 0.0000
8.4642 -4.2321 6.3482
6.3482 8.4642 -4.2321
6.3482 0.0000 4.2321
4.2321 6.3482 0.0000
8.4642 4.2321 2.1161
-4.2321 4.2321 4.2321
0.0000 8.4642 0.0000
0.0000 0.0000 8.4642
4.2321 4.2321 4.2321
0.0000 4.2321 6.3482
4.2321 2.1161 8.4642
2.1161 8.4642 4.2321
2.1161 0.0000 12.6964
0.0000 12.6964 2.1161
-4.2321 6.3482 8.4642


Er12Fe6Pb (PBE, optimized geometry); crystal system = cubic; total magnetic moment = 6.05 μB/cell; formation enthalpy at 0 K = -0.118 eV/atom; space group = Im-3, No. 204
1.0
-4.8153 4.8153 4.8153
4.8153 -4.8153 4.8153
4.8153 4.8153 -4.8153
Er Fe Pb
12 6 1
Cartesian
4.8153 -1.9294 2.9276
2.8859 1.8877 0.0000
6.7447 1.8877 0.0000
2.9276 4.8153 -1.9294
1.8877 0.0000 2.8859
0.0000 2.8859 1.8877
4.8153 1.9294 2.9276
2.9276 4.8153 1.9294
1.8877 0.0000 6.7447
-1.9294 2.9276 4.8153
1.9294 2.9276 4.8153
0.0000 6.7447 1.8877
4.8153 0.0000 1.0584
4.8153 3.7569 0.0000
1.0584 4.8153 0.0000
3.7569 0.0000 4.8153
0.0000 1.0584 4.8153
0.0000 4.8153 3.7569
0.0000 0.0000 0.0000


Cd7Te (PBE, optimized geometry); final energy = -1.159 eV per atom; crystal system = cubic; total magnetic moment = 0.00 μB/cell; space group = Fm-3m, No. 225
1.0
0.0000 4.5704 4.5704
4.5704 0.0000 4.5704
4.5704 4.5704 0.0000
Cd Te
7 1
Cartesian
0.0000 0.0000 0.0000
2.2852 2.2852 0.0000
2.2852 0.0000 2.2852
4.5704 2.2852 2.2852
0.0000 2.2852 2.2852
2.2852 4.5704 2.2852
2.2852 2.2852 4.5704
4.5704 4.5704 4.5704


Mg7GaAu4 (PBE, optimized geometry); crystal system = monoclinic; total magnetic moment = 0.00 μB/cell; formation enthalpy at 0 K = -0.343 eV/atom; space group = C2/m, No. 12
1.0
6.6020 -2.4549 0.0000
6.6020 2.4549 0.0000
-5.8590 0.0000 7.7632
Mg Ga Au
7 1 4
Cartesian
0.0000 0.0000 0.0000
-1.3810 0.0000 4.6430
2.9849 0.0000 1.0117
1.7767 0.0000 5.1485
5.5684 0.0000 2.6146
4.3602 0.0000 6.7515
8.7261 0.0000 3.1201
6.6020 0.0000 0.0000
-3.6587 0.0000 6.0499
0.7258 0.0000 2.6614
6.6193 0.0000 5.1018
11.0038 0.0000 1.7133


Rb2CaBi (PBE, optimized geometry); crystal system = tetragonal; total magnetic moment = 1.29 μB/cell; formation enthalpy at 0 K = -0.043 eV/atom; space group = I-42d, No. 122
1.0
-2.5635 2.5635 13.9428
2.5635 -2.5635 13.9428
2.5635 2.5635 -13.9428
Rb Ca Bi
4 2 2
Cartesian
3.8453 1.1895 -3.4857
1.1895 1.2818 3.4857
-1.2818 1.3740 10.4571
1.3740 1.2818 17.4285
2.5635 0.0000 6.9714
0.0000 0.0000 13.9428
0.0000 0.0000 0.0000
0.0000 2.5635 6.9714


ErH4IrPt2 (PBE, optimized geometry); final energy = -5.189 eV per atom; crystal system = monoclinic; total magnetic moment = 0.00 μB/cell; space group = C2, No. 5
1.0
2.9047 -4.1321 0.0000
2.9047 4.1321 0.0000
-2.8566 0.0000 3.5336
Er H Ir Pt
1 4 1 2
Cartesian
0.0000 0.0000 0.0000
0.0626 1.0228 2.1327
-1.2438 -1.8389 3.4949
2.8903 1.0228 1.4008
4.1966 -1.8389 0.0386
1.4764 2.0667 1.7668
2.9047 -0.1393 0.0000
1.4764 -1.9702 1.7668


Ce2PmRh (PBE, optimized geometry); crystal system = tetragonal; total magnetic moment = 0.56 μB/cell; formation enthalpy at 0 K = -0.274 eV/atom; space group = P4/mmm, No. 123
1.0
3.6646 0.0000 0.0000
0.0000 3.6646 0.0000
0.0000 0.0000 7.8062
Ce Pm Rh
2 1 1
Cartesian
0.0000 0.0000 1.4801
0.0000 0.0000 6.3261
1.8323 1.8323 3.9031
1.8323 1.8323 0.0000


RbNaHgF4 (PBE, optimized geometry); final energy = -3.569 eV per atom; crystal system = monoclinic; total magnetic moment = 0.00 μB/cell; space group = P2_1/m, No. 11
1.0
6.4783 0.0000 0.0000
0.0000 5.9869 0.0000
-1.7004 0.0000 6.8591
Rb Na Hg F
2 2 2 8
Cartesian
0.6869 1.4967 0.7034
4.0911 4.4902 6.1557
0.1520 4.4902 3.2696
4.6259 1.4967 3.5895
1.4005 1.4967 4.7311
3.3774 4.4902 2.1280
-0.3658 0.1135 4.8577
-0.3658 2.8800 4.8577
1.4007 4.4902 1.2348
2.4828 1.4967 2.7392
2.2951 4.4902 4.1199
3.3772 1.4967 5.6243
5.1437 3.1069 2.0014
5.1437 5.8735 2.0014


MgBeMo2 (PBE, optimized geometry); crystal system = tetragonal; total magnetic moment = 0.00 μB/cell; formation enthalpy at 0 K = 0.305 eV/atom; space group = P4/mmm, No. 123
1.0
3.7236 0.0000 0.0000
0.0000 3.7236 0.0000
0.0000 0.0000 4.2755
Mg Be Mo
1 1 2
Cartesian
0.0000 0.0000 0.0000
1.8618 1.8618 0.0000
0.0000 1.8618 2.1378
1.8618 0.0000 2.1378


CePm4Ir3 (PBE, optimized geometry); crystal system = triclinic; total magnetic moment = 0.91 μB/cell; formation enthalpy at 0 K = -0.622 eV/atom; space group = P-1, No. 2
1.0
6.3150 0.0000 0.0000
2.1346 7.9675 0.0000
2.1312 0.3736 8.0070
Ce Pm Ir
2 8 6
Cartesian
3.6329 4.1481 3.9946
6.9479 4.1929 4.0124
2.0122 1.2660 5.6302
4.1355 5.9725 7.0281
3.3003 1.0274 2.3613
5.3865 2.7157 7.0250
5.1943 5.6254 0.9820
7.2805 7.3137 5.6457
6.4454 2.3686 0.9788
8.5686 7.0751 2.3768
2.4403 4.1331 1.5431
5.8472 8.3409 8.0038
5.0091 6.4652 3.9339
5.5717 1.8759 4.0731
4.7336 0.0002 0.0032
8.1406 4.2080 6.4639


LiTbNbRu (PBE, optimized geometry); crystal system = cubic; total magnetic moment = 0.00 μB/cell; formation enthalpy at 0 K = -0.011 eV/atom; space group = F-43m, No. 216
1.0
0.0000 3.3139 3.3139
3.3139 0.0000 3.3139
3.3139 3.3139 0.0000
Li Tb Nb Ru
1 1 1 1
Cartesian
0.0000 0.0000 0.0000
4.9709 4.9709 4.9709
1.6570 1.6570 1.6570
3.3139 3.3139 3.3139


Ca2TmInO (PBE, optimized geometry); final energy = -4.647 eV per atom; crystal system = tetragonal; total magnetic moment = 0.00 μB/cell; space group = P4/mmm, No. 123
1.0
4.8260 0.0000 0.0000
0.0000 4.8260 0.0000
0.0000 0.0000 4.7840
Ca Tm In O
2 1 1 1
Cartesian
0.0000 2.4130 0.0000
2.4130 0.0000 0.0000
0.0000 0.0000 2.3920
2.4130 2.4130 2.3920
0.0000 0.0000 0.0000


CdPb2W (PBE, optimized geometry); crystal system = tetragonal; total magnetic moment = 0.00 μB/cell; formation enthalpy at 0 K = 1.319 eV/atom; space group = I-42d, No. 122
1.0
-3.3288 3.3288 6.4338
3.3288 -3.3288 6.4338
3.3288 3.3288 -6.4338
Cd Pb W
2 4 2
Cartesian
0.0000 0.0000 0.0000
0.0000 3.3288 3.2169
1.6644 -1.3609 4.8254
1.9679 1.6644 1.6085
1.6644 4.6897 -1.6085
1.3609 1.6644 8.0423
3.3288 0.0000 3.2169
0.0000 0.0000 6.4338


Number 1: Fermi-level density of states 0.635 states/eV per atom. Number 2: Fermi-level density of states 1.579 states/eV per atom. Number 3: Fermi-level density of states 1.313 states/eV per atom. Number 4: Fermi-level density of states 0.866 states/eV per atom. Number 5: Fermi-level density of states 1.378 states/eV per atom. Number 6: Fermi-level density of states 1.717 states/eV per atom. Number 7: Fermi-level density of states 0.337 states/eV per atom. Number 8: Fermi-level density of states 0.606 states/eV per atom. Number 9: Fermi-level density of states 0.824 states/eV per atom. Number 10: Fermi-level density of states 0.456 states/eV per atom. Number 11: Fermi-level density of states 0.436 states/eV per atom. Number 12: Fermi-level density of states 0.777 states/eV per atom. Number 13: Fermi-level density of states 0.237 states/eV per atom. Number 14: Fermi-level density of states 2.443 states/eV per atom. Number 15: Fermi-level density of states 0.000 states/eV per atom. Number 16: Fermi-level density of states 0.575 states/eV per atom. Number 17: Fermi-level density of states 1.146 states/eV per atom. Number 18: Fermi-level density of states 0.531 states/eV per atom. Number 19: Fermi-level density of states 0.231 states/eV per atom. Number 20: Fermi-level density of states 0.190 states/eV per atom.